1.
# KRe2Pt

A relaxed KRe2Pt crystal (GGA-PBE, Alexandria via LeMat-Bulk).

Calculated values
As for the energy relative to the elements: 1.05 eV per atom. The calculation puts the total magnetic moment at 0.00 μB per cell. The value obtained for the volume is 81.31 Å³ per cell. Its total energy is -0.5113 Ry per atom.

Lattice parameters (Å, degrees): 5.819 5.819 5.819 149.54 124.68 64.48
Positions (direct):
Pt  0.210  0.710  0.500
K  0.503  0.503  0.000
Re  0.803  0.303  0.500
Re  0.984  0.984  0.000

2.
# KRe2Pt

A relaxed KRe2Pt crystal (GGA-PBE, Alexandria via LeMat-Bulk).

Calculated values
As for the energy relative to the elements: 1.44 eV per atom. The calculation puts the total magnetic moment at 0.00 μB per cell. The value obtained for the volume is 70.80 Å³ per cell. Its total energy is -0.4826 Ry per atom.

Lattice parameters (Å, degrees): 5.476 5.476 5.476 138.71 138.71 59.82
Positions (direct):
Re  0.500  0.500  0.000
Re  0.000  0.000  0.000
Pt  0.750  0.250  0.500
K  0.250  0.750  0.500